Computed, not measured: a relaxed structure of Pu2NpGa at the PBE level of DFT.

The structure belongs to space group P4/mmm (No. 123); the cell edges are 3.6832, 3.6832 and 6.2546 Å and the angles 90.00°, 90.00° and 90.00°. The asymmetric unit holds Pu at (0.0000, 0.0000, 0.2431), Np at (0.5000, 0.5000, 0.5000) and Ga at (0.5000, 0.5000, 0.0000).

The raw total energy is -0.4060 Ha/atom. The energy above the lowest structure with this stoichiometry is 187 meV per atom. The value obtained for the mass density is 15.553 g/cm3. The value obtained for the volume is 21.213 A^3/atom.